# 1
Here is a geometry-optimized CuSbO3 structure from Alexandria via LeMat-Bulk. Energies are from PBE.

a = 7.7271 Å, b = 7.7271 Å, c = 5.0404 Å
α = 90.00°, β = 90.00°, γ = 155.49°
Sites, in units of the cell vectors:
Cu: 0.0468 0.9532 0.5000
Cu: 0.9532 0.0468 0.0000
Sb: 0.3322 0.6678 0.4595
Sb: 0.6678 0.3322 0.9595
O: 0.1124 0.8876 0.1462
O: 0.2367 0.7633 0.7734
O: 0.4283 0.5717 0.1920
O: 0.5717 0.4283 0.6920
O: 0.7633 0.2367 0.2734
O: 0.8876 0.1124 0.6462

The value obtained for the magnetization is 0.357 μB/cell. For the density of states at the Fermi level, the calculation gives 0.4002 states/eV/atom. For the uncorrected formation energy, the calculation gives -22.1 kcal/mol of atoms. The calculated volume comes out at 12.49 Å³ per atom. As for the total energy: -27.88 eV per formula unit. The symmetry is Cmc2_1.



# 2
Here is a geometry-optimized Sc2CuSbO6 structure from Alexandria via LeMat-Bulk. Energies are from PBE.

a = 5.8283 Å, b = 5.8283 Å, c = 5.8283 Å
α = 54.92°, β = 54.92°, γ = 54.92°
Sites, in units of the cell vectors:
Sc: 0.0000 0.0000 0.0000
Sc: 0.4900 0.4900 0.4900
Cu: 0.2332 0.2332 0.2332
Sb: 0.7976 0.7976 0.7976
O: 0.0651 0.4126 0.7265
O: 0.1884 0.8664 0.6161
O: 0.4126 0.7265 0.0651
O: 0.6161 0.1884 0.8664
O: 0.7265 0.0651 0.4126
O: 0.8664 0.6161 0.1884

The value obtained for the magnetization is 0.067 μB/cell. For the uncorrected formation energy, the calculation gives -52.1 kcal/mol of atoms. The calculated volume comes out at 12.34 Å³ per atom. As for the total energy: -73.23 eV per formula unit. The symmetry is R3.



# 3
Here is a geometry-optimized CuSnSb2O structure from Alexandria via LeMat-Bulk. Energies are from PBE.

a = 5.1041 Å, b = 5.1041 Å, c = 3.9311 Å
α = 90.00°, β = 90.00°, γ = 90.00°
Sites, in units of the cell vectors:
Cu: 0.0000 0.0000 0.0000
Sn: 0.5000 0.5000 0.0000
Sb: 0.0000 0.5000 0.5000
Sb: 0.5000 0.0000 0.5000
O: 0.0000 0.0000 0.5000

The value obtained for the magnetization is 0.000 μB/cell. For the density of states at the Fermi level, the calculation gives 0.3707 states/eV/atom. For the uncorrected formation energy, the calculation gives -0.5 kcal/mol of atoms. The calculated volume comes out at 20.48 Å³ per atom. As for the total energy: -21.41 eV per formula unit. The symmetry is P4/mmm.